Entry 1:
PuHfZnOs (PBE, relaxed); space-group type = F-43m (216); ΔH_f (0 K) = -2.661 kcal/mol of atoms
1.0
-0.313 -3.250 3.474
3.488 -0.383 3.227
-0.752 1.385 4.499
Os Pu Zn Hf
1 1 1 1
direct
0.500 0.500 0.500
0.750 0.750 0.750
0.000 0.000 0.000
0.250 0.250 0.250

***

Entry 2:
Ti7TlPb3 (PBE, relaxed); space-group type = Immm (71); ΔH_f (0 K) = 6.869 kcal/mol of atoms
1.0
-0.093 4.485 2.727
-3.472 -5.279 3.513
6.341 -3.391 0.743
Pb Ti Tl
3 7 1
direct
0.500 0.000 0.000
0.000 0.767 0.233
0.000 0.233 0.767
0.822 0.822 0.822
0.668 0.414 0.923
0.668 0.923 0.414
0.178 0.178 0.178
0.332 0.077 0.586
0.332 0.586 0.077
0.000 0.500 0.500
0.500 0.500 0.500

***

Entry 3:
Li12SmCd6 (PBE, relaxed); space-group type = R-3m (166); ΔH_f (0 K) = -1.592 kcal/mol of atoms
1.0
7.542 0.196 0.276
-1.680 7.355 0.276
-1.680 -2.164 7.035
Li Cd Sm
12 6 1
direct
0.431 0.431 0.159
0.106 0.894 0.500
0.569 0.569 0.841
0.841 0.569 0.569
0.159 0.431 0.431
0.500 0.106 0.894
0.500 0.894 0.106
0.569 0.841 0.569
0.894 0.500 0.106
0.106 0.500 0.894
0.894 0.106 0.500
0.431 0.159 0.431
0.242 0.735 0.242
0.735 0.242 0.242
0.758 0.758 0.265
0.758 0.265 0.758
0.265 0.758 0.758
0.242 0.242 0.735
0.000 0.000 0.000

***

Entry 4:
PaNi2Se (PBE, relaxed); space-group type = R-3m (166); formation energy from raw total energies = -301 meV per atom
1.0
4.579 0.000 0.000
2.289 3.965 0.000
2.289 1.322 3.620
Pa Ni Se
1 2 1
direct
0.500 0.500 0.500
0.757 0.757 0.728
0.243 0.243 0.272
0.000 0.000 0.000

***

Entry 5:
PmSbTe (PBE, relaxed); space-group type = Amm2 (38); E above lowest polymorph = 646 meV per atom; formation energy from raw total energies = -515 meV per atom
1.0
3.268 0.000 0.000
-1.634 4.108 0.000
0.000 0.000 15.419
Pm Te Sb
2 2 2
direct
0.314 0.627 0.500
0.574 0.147 0.000
0.284 0.568 0.138
0.284 0.568 0.862
0.606 0.211 0.641
0.606 0.211 0.359

***

Entry 6:
LaMnBe2 (PBE, relaxed); space-group type = Pm (6); ΔH_f (0 K) = 5.529 kcal/mol of atoms; E above lowest polymorph = 144 meV per atom
1.0
3.686 0.000 0.000
0.000 3.038 0.164
0.000 1.220 5.991
La Mn Be
1 1 2
direct
0.000 0.453 0.466
0.500 0.748 0.882
0.500 0.103 0.169
0.000 0.196 0.983

***

Entry 7:
Sm2Dy2ThMg5 (PBE, relaxed); space-group type = P4/mbm (127); ΔH_f (0 K) = 2.240 kcal/mol of atoms
1.0
5.183 0.000 0.000
0.000 10.559 0.000
0.000 0.000 10.559
Sm Mg Th Dy
4 10 2 4
direct
0.000 0.677 0.177
0.000 0.823 0.677
0.000 0.323 0.823
0.000 0.177 0.323
0.500 0.000 0.500
0.500 0.075 0.803
0.500 0.197 0.075
0.500 0.303 0.575
0.500 0.925 0.197
0.500 0.575 0.697
0.500 0.803 0.925
0.500 0.425 0.303
0.500 0.697 0.425
0.500 0.500 0.000
0.000 0.000 0.000
0.000 0.500 0.500
0.000 0.121 0.621
0.000 0.879 0.379
0.000 0.621 0.879
0.000 0.379 0.121

***

Entry 8:
La4Sm8Mg (PBE, relaxed); space-group type = R-3m (166); ΔH_f (0 K) = 8.506 kcal/mol of atoms
1.0
10.319 -0.001 -5.567
-6.661 9.649 -0.001
-2.908 -2.007 6.956
Sm La Mg
8 4 1
direct
0.318 0.159 0.984
0.521 0.760 0.281
0.825 0.159 0.984
0.479 0.240 0.719
0.175 0.334 0.016
0.682 0.841 0.016
0.825 0.666 0.984
0.175 0.841 0.016
0.000 0.500 0.000
0.000 0.000 0.000
0.500 0.000 0.000
0.500 0.500 0.000
0.000 0.500 0.500

***

Entry 9:
CaPuTiN3 (PBE, relaxed); space-group type = P2_1/m (11); formation energy from raw total energies = -1134 meV per atom
1.0
3.554 0.000 0.000
0.000 6.969 0.898
0.000 -1.775 7.841
N Pu Ti Ca
6 2 2 2
direct
0.750 0.885 0.159
0.250 0.841 0.485
0.250 0.115 0.841
0.250 0.586 0.885
0.750 0.159 0.515
0.750 0.414 0.115
0.750 0.374 0.841
0.250 0.626 0.159
0.750 0.895 0.397
0.250 0.105 0.603
0.250 0.149 0.149
0.750 0.851 0.851

***

Entry 10:
YBSbTe2 (PBE, relaxed); space-group type = P4/mmm (123); E above lowest polymorph = 824 meV per atom; formation energy from raw total energies = 964 meV per atom
1.0
-0.863 2.347 -5.257
-3.765 -4.252 -1.280
-4.372 3.223 2.157
Te Y Sb B
2 1 1 1
direct
0.000 0.500 0.000
0.500 0.000 0.000
0.000 0.000 0.000
0.000 0.000 0.500
0.500 0.500 0.500

***

Entry 11:
SrAlOs2 (PBE, relaxed); space-group type = P4/mmm (123); ΔH_f (0 K) = 20.300 kcal/mol of atoms
1.0
-2.683 2.126 -2.432
1.162 -2.282 -3.277
-2.981 -2.767 0.870
Os Al Sr
2 1 1
direct
0.000 0.500 0.500
0.000 0.000 0.000
0.500 0.000 0.500
0.500 0.500 0.000

***

Entry 12:
La2MgCuS (PBE, relaxed); space-group type = P4/mmm (123); formation energy from raw total energies = -424 meV per atom
1.0
-3.412 1.216 4.168
-2.698 -3.692 -1.131
2.975 -3.207 3.370
S Mg Cu La
1 1 1 2
direct
0.000 0.000 0.000
0.000 0.500 0.000
0.500 0.500 0.500
0.000 0.000 0.500
0.500 0.000 0.000

***

Entry 13:
Na2Ca2Ag15 (PBE, relaxed); space-group type = R-3m (166); ΔH_f (0 K) = -2.481 kcal/mol of atoms
1.0
-1.866 -1.571 -6.974
6.793 0.163 -2.900
1.346 -7.261 0.230
Ag Na Ca
15 2 2
direct
0.654 0.654 0.163
0.163 0.654 0.654
0.314 0.000 0.686
0.654 0.163 0.654
0.837 0.346 0.346
0.686 0.314 0.000
0.000 0.000 0.500
0.314 0.686 0.000
0.000 0.500 0.000
0.000 0.314 0.686
0.000 0.686 0.314
0.686 0.000 0.314
0.346 0.837 0.346
0.500 0.000 0.000
0.346 0.346 0.837
0.098 0.098 0.098
0.902 0.902 0.902
0.352 0.352 0.352
0.648 0.648 0.648

***

Number 1: M_tot 5.1 μB/cell. Number 2: M_tot 3.9 μB/cell. Number 3: M_tot 0.0 μB/cell. Number 4: M_tot 0.0 μB/cell. Number 5: M_tot 0.1 μB/cell. Number 6: M_tot 2.8 μB/cell. Number 7: M_tot 0.0 μB/cell. Number 8: M_tot 0.0 μB/cell. Number 9: M_tot 9.8 μB/cell. Number 10: M_tot 0.0 μB/cell. Number 11: M_tot 1.1 μB/cell. Number 12: M_tot 0.0 μB/cell. Number 13: M_tot 0.0 μB/cell.